Density functional theory data (PBE-GGA) for LiCaCl after structural relaxation.

Results
- E_tot: -18.0 eV/cell
- Fermi-level density of states: 2.15 states/eV per cell
- Formation energy without anion corrections: -1.078 eV/atom
- SG: Pm
- Energy relative to the lowest polymorph listed for this composition: 0.008 eV per atom

abc: 5.6130 3.9718 6.9489
angles: 90.00 94.67 90.00
Element x y z (fractional)
Ca: 0.2374 0.0000 0.6066
Cl: 0.5566 0.5000 0.8217
Li: 0.1420 0.5000 0.2265
Cl: 0.1006 0.0000 0.0018
Li: 0.7134 0.5000 0.5030
Ca: 0.6243 0.0000 0.1341